No. 1
Compound: TbSmSn2
Source: Alexandria
Functional: PBE
Structure: optimized geometry

The structure in CIF format:
```
data_TbSmSn2
_cell_length_a 4.0411
_cell_length_b 4.0411
_cell_length_c 25.7258
_cell_angle_alpha 90.00
_cell_angle_beta 90.00
_cell_angle_gamma 120.00
_space_group_name_H-M_alt 'R -3 m'
_space_group_IT_number 166
_space_group_name_Hall '-R 3 2"'
loop_
_atom_site_label
_atom_site_fract_x
_atom_site_fract_y
_atom_site_fract_z
Tb1 0.0000 0.0000 0.0000
Sm1 0.0000 0.0000 0.5000
Sn1 0.0000 0.0000 0.2512
```

total DFT energy (no corrections): -4.879 eV per atom
calculated density: 7486 kg/m3
ΔE_f: -540 meV per atom
crystal system: trigonal

No. 2
Compound: Pm2Zn7Cu
Source: Alexandria
Functional: PBE
Structure: optimized geometry

The structure in CIF format:
```
data_Pm2Zn7Cu
_cell_length_a 4.220
_cell_length_b 4.220
_cell_length_c 10.516
_cell_angle_alpha 90.00
_cell_angle_beta 90.00
_cell_angle_gamma 90.00
_space_group_name_H-M_alt 'P -4 m 2'
_space_group_IT_number 115
loop_
_space_group_symop_operation_xyz
'x,y,z'
'y,-x,-z'
'-x,-y,z'
'-y,x,-z'
'-x,y,z'
'-y,-x,-z'
'x,-y,z'
'y,x,-z'
loop_
_atom_site_label
_atom_site_fract_x
_atom_site_fract_y
_atom_site_fract_z
Pm1 0.000 0.500 0.248
Zn1 0.000 0.000 0.000
Zn2 0.000 0.000 0.500
Zn3 0.000 0.500 0.635
Zn4 0.000 0.500 0.869
Zn5 0.500 0.500 0.500
Cu1 0.500 0.500 0.000
```

total DFT energy (no corrections): -2.533 eV per atom
calculated density: 7195 kg/m3
ΔE_f: -282 meV per atom
crystal system: tetragonal

No. 3
Compound: Co4Tc
Source: Alexandria
Functional: PBE
Structure: optimized geometry

The structure in CIF format:
```
data_Co4Tc
_cell_length_a 3.357
_cell_length_b 3.357
_cell_length_c 10.880
_cell_angle_alpha 90.00
_cell_angle_beta 90.00
_cell_angle_gamma 90.00
_space_group_name_H-M_alt 'I 4/m m m'
_space_group_IT_number 139
_space_group_name_Hall '-I 4 2'
loop_
_atom_site_label
_atom_site_fract_x
_atom_site_fract_y
_atom_site_fract_z
Co1 0.000 0.000 0.101
Co2 0.000 0.500 0.250
Tc1 0.000 0.000 0.500
```

total DFT energy (no corrections): -7.276 eV per atom
calculated density: 9042 kg/m3
energy above the lowest structure with this stoichiometry: 197 kJ/mol of formula units
ΔE_f: 482 meV per atom
crystal system: tetragonal

No. 4
Compound: SrTiCoS2
Source: Alexandria
Functional: PBE
Structure: optimized geometry

The structure in CIF format:
```
data_SrTiCoS2
_cell_length_a 4.824
_cell_length_b 4.824
_cell_length_c 4.450
_cell_angle_alpha 90.00
_cell_angle_beta 90.00
_cell_angle_gamma 90.00
_space_group_name_H-M_alt 'P 4/m m m'
_space_group_IT_number 123
_space_group_name_Hall '-P 4 2'
loop_
_atom_site_label
_atom_site_fract_x
_atom_site_fract_y
_atom_site_fract_z
Sr1 0.000 0.000 0.000
Ti1 0.500 0.500 0.500
Co1 0.500 0.500 0.000
S1 0.000 0.500 0.500
```

total DFT energy (no corrections): -5.718 eV per atom
formation energy (no corrections): -0.730 eV/atom
calculated density: 4146 kg/m3
crystal system: tetragonal

No. 5
Compound: BaSr2TlCu
Source: Alexandria
Functional: PBE
Structure: optimized geometry

The structure in CIF format:
```
data_BaSr2TlCu
_cell_length_a 5.939
_cell_length_b 5.939
_cell_length_c 6.100
_cell_angle_alpha 90.00
_cell_angle_beta 90.00
_cell_angle_gamma 90.00
_space_group_name_H-M_alt 'P 4/m m m'
_space_group_IT_number 123
_space_group_name_Hall '-P 4 2'
loop_
_atom_site_label
_atom_site_fract_x
_atom_site_fract_y
_atom_site_fract_z
Ba1 0.000 0.000 0.000
Sr1 0.000 0.500 0.500
Tl1 0.500 0.500 0.000
Cu1 0.000 0.000 0.500
```

total DFT energy (no corrections): -2.362 eV per atom
calculated density: 4480 kg/m3
energy above the lowest structure with this stoichiometry: 8 kJ/mol of formula units
ΔE_f: -12 meV per atom
crystal system: tetragonal

No. 6
Compound: CaInI4Br
Source: Alexandria
Functional: PBE
Structure: optimized geometry

The structure in CIF format:
```
data_CaInI4Br
_cell_length_a 14.923
_cell_length_b 8.520
_cell_length_c 12.041
_cell_angle_alpha 90.00
_cell_angle_beta 92.41
_cell_angle_gamma 90.00
_space_group_name_H-M_alt 'C 1 2/m 1'
_space_group_IT_number 12
loop_
_space_group_symop_operation_xyz
'x,y,z'
'-x,-y,-z'
'-x,y,-z'
'x,-y,z'
'x+1/2,y+1/2,z'
'-x+1/2,-y+1/2,-z'
'-x+1/2,y+1/2,-z'
'x+1/2,-y+1/2,z'
loop_
_atom_site_label
_atom_site_fract_x
_atom_site_fract_y
_atom_site_fract_z
Ca1 0.138 0.000 0.497
In1 0.160 0.500 0.774
I1 0.012 0.500 0.297
I2 0.212 0.500 0.990
I3 0.244 0.247 0.335
Br1 0.008 0.000 0.657
```

total DFT energy (no corrections): -2.791 eV per atom
formation energy (no corrections): -0.989 eV/atom
calculated density: 3224 kg/m3
crystal system: monoclinic

No. 7
Compound: Li3P2Pt
Source: Alexandria
Functional: PBE
Structure: optimized geometry

The structure in CIF format:
```
data_Li3P2Pt
_cell_length_a 7.026
_cell_length_b 7.387
_cell_length_c 7.982
_cell_angle_alpha 90.00
_cell_angle_beta 105.91
_cell_angle_gamma 90.00
_space_group_name_H-M_alt 'P 1 21/c 1'
_space_group_IT_number 14
loop_
_space_group_symop_operation_xyz
'x,y,z'
'-x,-y,-z'
'-x,y+1/2,-z+1/2'
'x,-y+1/2,z+1/2'
loop_
_atom_site_label
_atom_site_fract_x
_atom_site_fract_y
_atom_site_fract_z
Li1 0.140 0.064 0.410
Li2 0.142 0.067 0.909
Li3 0.233 0.745 0.682
P1 0.000 0.249 0.125
P2 0.498 0.002 0.638
Pt1 0.351 0.245 0.211
```

total DFT energy (no corrections): -4.379 eV per atom
calculated density: 4632 kg/m3
ΔE_f: -612 meV per atom
crystal system: monoclinic

No. 8
Compound: La4Dy3Y2
Source: Alexandria
Functional: PBE
Structure: optimized geometry

The structure in CIF format:
```
data_La4Dy3Y2
_cell_length_a 11.548
_cell_length_b 5.972
_cell_length_c 9.187
_cell_angle_alpha 90.00
_cell_angle_beta 102.46
_cell_angle_gamma 90.00
_space_group_name_H-M_alt 'C 1 2/m 1'
_space_group_IT_number 12
loop_
_space_group_symop_operation_xyz
'x,y,z'
'-x,-y,-z'
'-x,y,-z'
'x,-y,z'
'x+1/2,y+1/2,z'
'-x+1/2,-y+1/2,-z'
'-x+1/2,y+1/2,-z'
'x+1/2,-y+1/2,z'
loop_
_atom_site_label
_atom_site_fract_x
_atom_site_fract_y
_atom_site_fract_z
La1 0.164 0.000 0.014
La2 0.221 0.500 0.337
Dy1 0.000 0.500 0.000
Dy2 0.101 0.500 0.663
Y1 0.046 0.000 0.335
```

total DFT energy (no corrections): -5.058 eV per atom
calculated density: 6554 kg/m3
energy above the lowest structure with this stoichiometry: 63 kJ/mol of formula units
ΔE_f: 102 meV per atom
crystal system: monoclinic

No. 9
Compound: NdHo2Zn2In2
Source: Alexandria
Functional: PBE
Structure: optimized geometry

The structure in CIF format:
```
data_NdHo2Zn2In2
_cell_length_a 4.7323
_cell_length_b 4.7323
_cell_length_c 27.4745
_cell_angle_alpha 90.00
_cell_angle_beta 90.00
_cell_angle_gamma 120.00
_space_group_name_H-M_alt 'R -3 m'
_space_group_IT_number 166
_space_group_name_Hall '-R 3 2"'
loop_
_atom_site_label
_atom_site_fract_x
_atom_site_fract_y
_atom_site_fract_z
Nd1 0.0000 0.0000 0.0000
Ho1 0.0000 0.0000 0.1289
Zn1 0.0000 0.0000 0.4063
In1 0.0000 0.0000 0.2598
```

total DFT energy (no corrections): -3.421 eV per atom
calculated density: 7802 kg/m3
ΔE_f: -286 meV per atom
crystal system: trigonal

No. 10
Compound: CsTlFePt2
Source: Alexandria
Functional: PBE
Structure: optimized geometry

The structure in CIF format:
```
data_CsTlFePt2
_cell_length_a 5.260
_cell_length_b 5.260
_cell_length_c 6.397
_cell_angle_alpha 90.00
_cell_angle_beta 90.00
_cell_angle_gamma 90.00
_space_group_name_H-M_alt 'P 4/m m m'
_space_group_IT_number 123
_space_group_name_Hall '-P 4 2'
loop_
_atom_site_label
_atom_site_fract_x
_atom_site_fract_y
_atom_site_fract_z
Cs1 0.000 0.000 0.000
Tl1 0.000 0.000 0.500
Fe1 0.500 0.500 0.500
Pt1 0.000 0.500 0.000
```

total DFT energy (no corrections): -2.733 eV per atom
calculated density: 7350 kg/m3
ΔE_f: 2019 meV per atom
crystal system: tetragonal

No. 11
Compound: BaTbY2
Source: Alexandria
Functional: PBE
Structure: optimized geometry

The structure in CIF format:
```
data_BaTbY2
_cell_length_a 3.6204
_cell_length_b 3.6204
_cell_length_c 38.6797
_cell_angle_alpha 90.00
_cell_angle_beta 90.00
_cell_angle_gamma 120.00
_space_group_name_H-M_alt 'R -3 m'
_space_group_IT_number 166
_space_group_name_Hall '-R 3 2"'
loop_
_atom_site_label
_atom_site_fract_x
_atom_site_fract_y
_atom_site_fract_z
Ba1 0.0000 0.0000 0.0000
Tb1 0.0000 0.0000 0.5000
Y1 0.0000 0.0000 0.0936
```

total DFT energy (no corrections): -4.648 eV per atom
calculated density: 5379 kg/m3
energy above the lowest structure with this stoichiometry: 27 kJ/mol of formula units
ΔE_f: 222 meV per atom
crystal system: trigonal

No. 12
Compound: ReAu3I
Source: Alexandria
Functional: PBE
Structure: optimized geometry

The structure in CIF format:
```
data_ReAu3I
_cell_length_a 5.352
_cell_length_b 5.352
_cell_length_c 5.352
_cell_angle_alpha 90.00
_cell_angle_beta 90.00
_cell_angle_gamma 90.00
_space_group_name_H-M_alt 'P m -3 m'
_space_group_IT_number 221
_space_group_name_Hall '-P 4 2 3'
loop_
_atom_site_label
_atom_site_fract_x
_atom_site_fract_y
_atom_site_fract_z
Re1 0.000 0.000 0.000
Au1 0.000 0.500 0.500
I1 0.500 0.500 0.500
```

total DFT energy (no corrections): -2.843 eV per atom
formation energy (no corrections): 1.923 eV/atom
calculated density: 9791 kg/m3
energy above the lowest structure with this stoichiometry: 329 kJ/mol of formula units
crystal system: cubic